# 1
A relaxed Sm8Dy2Y crystal. Source: Alexandria via LeMat-Bulk, functional PBE.

Cell lengths 6.692, 10.330, 10.330 Å; angles 38.17, 59.57, 59.57 degrees
Fractional coordinates of all 11 atoms:
Sm 0.230 0.351 0.826
Sm 0.827 0.244 0.244
Sm 0.230 0.826 0.351
Sm 0.273 0.408 0.408
Sm 0.173 0.756 0.756
Sm 0.727 0.592 0.592
Sm 0.770 0.649 0.174
Sm 0.770 0.174 0.649
Dy 0.405 0.200 0.200
Dy 0.595 0.800 0.800
Y 0.000 0.000 0.000

---

# 2
A relaxed Sm5DyY12 crystal. Source: Alexandria via LeMat-Bulk, functional PBE.

Cell lengths 15.195, 10.745, 5.071 Å; angles 90.00, 90.01, 45.09 degrees
Fractional coordinates of all 18 atoms:
Sm 0.333 0.334 0.000
Sm 0.500 0.000 0.500
Sm 0.834 0.332 0.500
Sm 0.667 0.666 0.000
Sm 0.166 0.668 0.500
Y 0.667 0.000 0.000
Y 0.834 0.000 0.500
Y 0.000 0.667 0.000
Y 0.834 0.666 0.500
Y 0.166 0.000 0.500
Y 0.166 0.334 0.500
Y 0.667 0.332 0.000
Y 0.500 0.666 0.500
Y 0.333 0.668 0.000
Y 0.000 0.333 0.000
Y 0.333 0.000 0.000
Y 0.500 0.334 0.500
Dy 0.000 0.000 0.000

---

# 3
A relaxed Sm12Dy7Y crystal. Source: Alexandria via LeMat-Bulk, functional PBE.

Cell lengths 8.798, 8.798, 8.798 Å; angles 94.47, 94.47, 94.47 degrees
Fractional coordinates of all 20 atoms:
Sm 0.478 0.147 0.413
Sm 0.817 0.250 0.685
Sm 0.250 0.685 0.817
Sm 0.587 0.522 0.853
Sm 0.183 0.750 0.315
Sm 0.685 0.817 0.250
Sm 0.522 0.853 0.587
Sm 0.853 0.587 0.522
Sm 0.413 0.478 0.147
Sm 0.750 0.315 0.183
Sm 0.147 0.413 0.478
Sm 0.315 0.183 0.750
Dy 0.020 0.084 0.351
Dy 0.980 0.916 0.649
Dy 0.916 0.649 0.980
Dy 0.649 0.980 0.916
Dy 0.351 0.020 0.084
Dy 0.500 0.500 0.500
Dy 0.084 0.351 0.020
Y 0.000 0.000 0.000

---

# 4
A relaxed SmDy7Y2 crystal. Source: Alexandria via LeMat-Bulk, functional PBE.

Cell lengths 6.158, 10.666, 7.949 Å; angles 107.35, 104.96, 39.69 degrees
Fractional coordinates of all 10 atoms:
Dy 0.700 0.900 0.199
Dy 0.101 0.699 0.600
Dy 0.500 0.500 0.000
Dy 0.300 0.100 0.801
Dy 0.200 0.400 0.200
Dy 0.800 0.600 0.800
Dy 0.899 0.301 0.400
Y 0.403 0.799 0.400
Y 0.597 0.201 0.600
Sm 0.000 0.000 0.000

---

Number 1: magnetic moment 0.00 μB per formula unit, energy of formation from the pure elements 0.17 eV/atom, total DFT energy (no corrections) -4.689 eV/atom. Number 2: magnetic moment 0.00 μB per formula unit, energy of formation from the pure elements 0.02 eV/atom, total DFT energy (no corrections) -5.855 eV/atom. Number 3: magnetic moment 0.00 μB per formula unit, energy of formation from the pure elements 0.28 eV/atom, total DFT energy (no corrections) -4.485 eV/atom. Number 4: magnetic moment 0.00 μB per formula unit, energy of formation from the pure elements 0.02 eV/atom, total DFT energy (no corrections) -4.967 eV/atom.